1.
## ZrTlCd2 (PBE)

Data for ZrTlCd2 after structural relaxation.

a b c (Å): 5.0609 5.0609 5.0609
angles (deg): 60.00 60.00 60.00
Last column: nearest neighbours and their distance in Å.
Atoms (fractional coordinates):
Cd 0.0000 0.0000 0.0000  4 Cd 3.10, 4 Zr 3.10
Cd 0.2500 0.2500 0.2500  4 Cd 3.10, 4 Tl 3.10
Tl 0.5000 0.5000 0.5000  4 Zr 3.10, 4 Cd 3.10
Zr 0.7500 0.7500 0.7500  4 Tl 3.10, 4 Cd 3.10

=====

2.
## ZrTlCd2 (PBE)

Data for ZrTlCd2 after structural relaxation.

a b c (Å): 5.7800 5.7800 5.7800
angles (deg): 135.98 135.98 64.01
Last column: nearest neighbours and their distance in Å.
Atoms (fractional coordinates):
Cd 0.0000 0.0000 0.0000  4 Cd 3.06, 4 Zr 3.27, 4 Tl 3.27
Cd 0.5000 0.5000 0.0000  4 Cd 3.06, 4 Tl 3.27, 4 Zr 3.27
Tl 0.2500 0.7500 0.5000  4 Zr 3.06, 8 Cd 3.27
Zr 0.7500 0.2500 0.5000  4 Tl 3.06, 8 Cd 3.27

=====

no.,energy of formation (eV per atom)
1,0.17
2,0.03